# 1
Computed, not measured: a crystal of Nb3TlSi relaxed with PBEsol at the meta-GGA SCAN level of DFT.

Calculated values
Formation energy without anion corrections (eV per atom): 0.587
Density of states at the Fermi level (states/eV/cell): 3.87

a = 4.663 Å, b = 4.663 Å, c = 4.663 Å
α = 90.00°, β = 90.00°, γ = 90.00°
Space group Pm-3m (No. 221)
Symmetry-distinct sites (fractional):
1 Nb 0.000 0.000 0.500 (multiplicity 3)
2 Tl 0.500 0.500 0.500 (multiplicity 1)
3 Si 0.000 0.000 0.000 (multiplicity 1)

***

# 2
Computed, not measured: a crystal of TiMn2O4 relaxed with PBEsol at the meta-GGA SCAN level of DFT.

Calculated values
Formation energy without anion corrections (eV per atom): -2.586

a = 6.096 Å, b = 6.096 Å, c = 8.532 Å
α = 90.00°, β = 90.00°, γ = 90.00°
Space group P4_322 (No. 95)
Symmetry-distinct sites (fractional):
1 Ti 0.000 0.255 0.000 (multiplicity 4)
2 Mn 0.249 0.249 0.625 (multiplicity 4)
3 Mn 0.250 0.500 0.250 (multiplicity 4)
4 O 0.014 0.233 0.232 (multiplicity 8)
5 O 0.233 0.469 0.999 (multiplicity 8)

***

# 3
Computed, not measured: a crystal of LaYAg2 relaxed with PBEsol at the meta-GGA SCAN level of DFT.

Calculated values
Density of states at the Fermi level (states/eV/cell): 7.07
Formation energy from the elements (eV per atom): -0.211

a = 11.225 Å, b = 3.497 Å, c = 5.179 Å
α = 90.00°, β = 107.22°, γ = 90.00°
Space group Cm (No. 8)
Symmetry-distinct sites (fractional):
1 La 0.000 0.000 0.000 (multiplicity 2)
2 Y 0.211 0.000 0.641 (multiplicity 2)
3 Ag 0.257 0.500 0.183 (multiplicity 2)
4 Ag 0.457 0.000 0.472 (multiplicity 2)

***

# 4
Computed, not measured: a crystal of KLaY3 relaxed with PBEsol at the meta-GGA SCAN level of DFT.

Calculated values
Density of states at the Fermi level (states/eV/cell): 4.20
Formation energy from the elements (eV per atom): 0.692

a = 5.782 Å, b = 5.782 Å, c = 5.782 Å
α = 90.00°, β = 90.00°, γ = 90.00°
Space group Pm-3m (No. 221)
Symmetry-distinct sites (fractional):
1 K 0.000 0.000 0.000 (multiplicity 1)
2 La 0.500 0.500 0.500 (multiplicity 1)
3 Y 0.000 0.500 0.500 (multiplicity 3)

***

| no. | total magnetic moment (Bohr magnetons per cell) |
| --- | --- |
| 1 | 1.749 |
| 2 | 40.000 |
| 3 | 0.001 |
| 4 | 0.964 |